Below is a relaxed structure of Pa2SbRh4, with properties calculated at the PBE level.

Computed properties:
Raw formation energy = -152.9 meV per atom
VASP energy = -7.656 eV/atom

a b c (Å): 4.967 4.967 13.199
angles (deg): 90.00 90.00 90.00
Element x y z (fractional)
Pa 0.000 0.000 0.126
Pa 0.000 0.000 0.874
Pa 0.500 0.500 0.374
Pa 0.500 0.500 0.626
Sb 0.000 0.000 0.500
Sb 0.500 0.500 0.000
Rh 0.000 0.000 0.297
Rh 0.000 0.000 0.703
Rh 0.000 0.500 0.000
Rh 0.000 0.500 0.500
Rh 0.500 0.000 0.000
Rh 0.500 0.000 0.500
Rh 0.500 0.500 0.203
Rh 0.500 0.500 0.797